A plane-wave DFT calculation with GGA-PBE was carried out for an optimized crystal structure of CaTlCl2.

a = 10.9895 Å, b = 10.9895 Å, c = 10.9895 Å
α = 20.72°, β = 20.72°, γ = 20.72°
Positions (direct):
Ca (0.0000, 0.0000, 0.0000)
Tl (0.5000, 0.5000, 0.5000)
Cl (0.2870, 0.2870, 0.2870)
Cl (0.7130, 0.7130, 0.7130)

theoretical density	3.60	g/cm3
raw total energy	-14.50	eV per cell
energy relative to the elements, uncorrected	-1609.6	meV/atom
symmetry	R-3m (166)
energy relative to the lowest polymorph listed for this composition	8	meV/atom